1.
# PmTh2Pa PBE optimized geometry
# * SG: P4/mmm (123)
# * DFT total energy: -28.3 eV per cell
# * ΔH_f (0 K): 186 meV/atom
# * offset from the most stable computed form: 89 meV per atom
data_PmTh2Pa
_chemical_formula_sum 'Pm1 Th2 Pa1'
_space_group_name_H-M_alt 'P 1'
_space_group_IT_number 1
_cell_length_a 4.794
_cell_length_b 5.028
_cell_length_c 5.028
_cell_angle_alpha 90.00
_cell_angle_beta 90.00
_cell_angle_gamma 90.00
loop_
_space_group_symop_operation_xyz
'x,y,z'
loop_
_atom_site_label
_atom_site_type_symbol
_atom_site_fract_x
_atom_site_fract_y
_atom_site_fract_z
Pm1 Pm 0.500 0.000 0.000
Th1 Th 0.000 0.500 0.000
Th2 Th 0.000 0.000 0.500
Pa1 Pa 0.500 0.500 0.500

2.
# TeHPbI2 PBE optimized geometry
# * SG: P4/mmm (123)
# * DFT total energy: -12.3 eV per cell
# * offset from the most stable computed form: 0 meV per atom
data_TeHPbI2
_chemical_formula_sum 'Te1 H1 Pb1 I2'
_space_group_name_H-M_alt 'P 1'
_space_group_IT_number 1
_cell_length_a 5.976
_cell_length_b 5.976
_cell_length_c 3.963
_cell_angle_alpha 90.00
_cell_angle_beta 90.00
_cell_angle_gamma 90.00
loop_
_space_group_symop_operation_xyz
'x,y,z'
loop_
_atom_site_label
_atom_site_type_symbol
_atom_site_fract_x
_atom_site_fract_y
_atom_site_fract_z
H1 H 0.000 0.000 0.000
I1 I 0.000 0.500 0.000
I2 I 0.500 0.000 0.000
Te1 Te 0.000 0.000 0.500
Pb1 Pb 0.500 0.500 0.500

3.
# Nd3Co PBE optimized geometry
# * SG: C2 (5)
# * DFT total energy: -85.2 eV per cell
# * ΔH_f (0 K): 25 meV/atom
data_Nd3Co
_chemical_formula_sum 'Nd12 Co4'
_space_group_name_H-M_alt 'P 1'
_space_group_IT_number 1
_cell_length_a 6.367
_cell_length_b 8.925
_cell_length_c 8.925
_cell_angle_alpha 82.61
_cell_angle_beta 69.05
_cell_angle_gamma 69.05
loop_
_space_group_symop_operation_xyz
'x,y,z'
loop_
_atom_site_label
_atom_site_type_symbol
_atom_site_fract_x
_atom_site_fract_y
_atom_site_fract_z
Nd1 Nd 0.386 0.600 0.000
Nd2 Nd 0.860 0.640 0.640
Nd3 Nd 0.987 0.400 0.000
Nd4 Nd 0.342 0.000 0.808
Nd5 Nd 0.614 0.000 0.400
Nd6 Nd 0.500 0.360 0.640
Nd7 Nd 0.140 0.360 0.360
Nd8 Nd 0.848 0.808 0.000
Nd9 Nd 0.658 0.192 0.000
Nd10 Nd 0.500 0.640 0.360
Nd11 Nd 0.152 0.000 0.192
Nd12 Nd 0.013 0.000 0.600
Co1 Co 0.000 0.703 0.297
Co2 Co 0.297 0.702 0.703
Co3 Co 0.000 0.298 0.702
Co4 Co 0.703 0.297 0.298

4.
# SrAcErIn PBE optimized geometry
# * SG: F-43m (216)
# * DFT total energy: -12.8 eV per cell
# * ΔH_f (0 K): 61 meV/atom
data_SrAcErIn
_chemical_formula_sum 'Sr1 Ac1 Er1 In1'
_space_group_name_H-M_alt 'P 1'
_space_group_IT_number 1
_cell_length_a 5.835
_cell_length_b 5.835
_cell_length_c 5.835
_cell_angle_alpha 60.00
_cell_angle_beta 60.00
_cell_angle_gamma 60.00
loop_
_space_group_symop_operation_xyz
'x,y,z'
loop_
_atom_site_label
_atom_site_type_symbol
_atom_site_fract_x
_atom_site_fract_y
_atom_site_fract_z
Sr1 Sr 0.250 0.250 0.250
Ac1 Ac 0.500 0.500 0.500
Er1 Er 0.750 0.750 0.750
In1 In 0.000 0.000 0.000

5.
# Ho3Ag3SnS8 PBE optimized geometry
# * SG: C2/m (12)
# * DFT total energy: -75.6 eV per cell
# * formation energy without anion corrections: -1087 meV/atom
data_Ho3Ag3SnS8
_chemical_formula_sum 'Ho3 Ag3 Sn1 S8'
_space_group_name_H-M_alt 'P 1'
_space_group_IT_number 1
_cell_length_a 7.886
_cell_length_b 7.882
_cell_length_c 7.809
_cell_angle_alpha 120.51
_cell_angle_beta 90.00
_cell_angle_gamma 120.01
loop_
_space_group_symop_operation_xyz
'x,y,z'
loop_
_atom_site_label
_atom_site_type_symbol
_atom_site_fract_x
_atom_site_fract_y
_atom_site_fract_z
S1 S 0.236 0.472 0.733
S2 S 0.764 0.528 0.267
S3 S 0.744 0.489 0.731
S4 S 0.763 0.999 0.733
S5 S 0.236 0.999 0.733
S6 S 0.237 0.001 0.267
S7 S 0.764 0.001 0.267
S8 S 0.256 0.511 0.269
Ho1 Ho 0.000 0.500 0.500
Ho2 Ho 0.500 0.500 0.500
Ho3 Ho 0.500 0.000 0.500
Ag1 Ag 0.000 0.500 0.000
Ag2 Ag 0.000 0.000 0.000
Ag3 Ag 0.500 0.500 0.000
Sn1 Sn 0.000 0.000 0.500